(1)
# TbNd2Er9 PBE optimized geometry
# Calculated volume: 375.9 Å³/cell
# Total DFT energy (no corrections): -54.9 eV/cell
# Energy above the lowest structure with this stoichiometry: 0.0000 eV per atom
data_TbNd2Er9
_chemical_formula_sum 'Tb1 Nd2 Er9'
_cell_length_a 5.0047
_cell_length_b 5.0047
_cell_length_c 15.0081
_cell_angle_alpha 90.00
_cell_angle_beta 90.00
_cell_angle_gamma 90.00
_space_group_name_H-M_alt 'P 4/m m m'
_space_group_IT_number 123
_space_group_name_Hall '-P 4 2'
loop_
_atom_site_label
_atom_site_type_symbol
_atom_site_fract_x
_atom_site_fract_y
_atom_site_fract_z
Tb1 Tb 0.0000 0.0000 0.0000
Nd1 Nd 0.0000 0.0000 0.3329
Er1 Er 0.0000 0.5000 0.1649
Er2 Er 0.0000 0.5000 0.5000
Er3 Er 0.5000 0.5000 0.0000
Er4 Er 0.5000 0.5000 0.3322

---

(2)
# Tb4Nd15Er PBE optimized geometry
# Calculated volume: 686.4 Å³/cell
# Total DFT energy (no corrections): -94.4 eV/cell
data_Tb4Nd15Er
_chemical_formula_sum 'Tb4 Nd15 Er1'
_cell_length_a 5.1657
_cell_length_b 5.1657
_cell_length_c 25.7215
_cell_angle_alpha 90.00
_cell_angle_beta 90.00
_cell_angle_gamma 90.00
_space_group_name_H-M_alt 'P 4/m m m'
_space_group_IT_number 123
_space_group_name_Hall '-P 4 2'
loop_
_atom_site_label
_atom_site_type_symbol
_atom_site_fract_x
_atom_site_fract_y
_atom_site_fract_z
Tb1 Tb 0.0000 0.0000 0.1001
Tb2 Tb 0.0000 0.0000 0.3004
Nd1 Nd 0.0000 0.5000 0.0000
Nd2 Nd 0.0000 0.5000 0.2002
Nd3 Nd 0.0000 0.5000 0.4005
Nd4 Nd 0.5000 0.5000 0.1001
Nd5 Nd 0.5000 0.5000 0.3005
Nd6 Nd 0.5000 0.5000 0.5000
Er1 Er 0.0000 0.0000 0.5000

---

(3)
# Tb2Nd8Er PBE optimized geometry
# Calculated volume: 764.1 Å³/cell
# Total DFT energy (no corrections): -100.3 eV/cell
# Energy above the lowest structure with this stoichiometry: 0.0044 eV per atom
data_Tb2Nd8Er
_chemical_formula_sum 'Tb4 Nd16 Er2'
_cell_length_a 16.8432
_cell_length_b 6.8363
_cell_length_c 6.7506
_cell_angle_alpha 90.00
_cell_angle_beta 100.58
_cell_angle_gamma 90.00
_space_group_name_H-M_alt 'C 1 2/m 1'
_space_group_IT_number 12
loop_
_space_group_symop_operation_xyz
'x,y,z'
'-x,-y,-z'
'-x,y,-z'
'x,-y,z'
'x+1/2,y+1/2,z'
'-x+1/2,-y+1/2,-z'
'-x+1/2,y+1/2,-z'
'x+1/2,-y+1/2,z'
loop_
_atom_site_label
_atom_site_type_symbol
_atom_site_fract_x
_atom_site_fract_y
_atom_site_fract_z
Tb1 Tb 0.1954 0.0000 0.3071
Nd1 Nd 0.0864 0.2619 0.9036
Nd2 Nd 0.0939 0.5000 0.4151
Nd3 Nd 0.2443 0.0000 0.8195
Er1 Er 0.0000 0.0000 0.5000

---

| no. | E_form (eV per atom) |
| --- | --- |
| 1 | 0.02 |
| 2 | 0.01 |
| 3 | 0.16 |